[1]
Density functional theory data (GGA-PBE) for crystalline Os3W at its relaxed geometry.

Unit cell a=4.956 b=4.956 c=4.956 alpha=90.00 beta=90.00 gamma=90.00
Space group Pm-3n (No. 223)
Symmetry-distinct sites (fractional):
Os 0.000 0.250 0.500 x6
W 0.000 0.000 0.000 x2

=====

[2]
Density functional theory data (GGA-PBE) for crystalline Os3W at its relaxed geometry.

Unit cell a=8.7789 b=8.7789 c=2.7090 alpha=90.00 beta=90.00 gamma=120.00
Space group R-3m (No. 166, hexagonal axes)
Symmetry-distinct sites (fractional):
Os 0.0000 0.5000 0.0000 x9
W 0.0000 0.0000 0.0000 x3

=====

[3]
Density functional theory data (GGA-PBE) for crystalline OsW at its relaxed geometry.

Unit cell a=4.4010 b=4.4010 c=4.9949 alpha=90.00 beta=90.00 gamma=120.00
Space group P6_3/mmc (No. 194)
Symmetry-distinct sites (fractional):
Os 0.3333 0.6667 0.2500 x2
W 0.3333 0.6667 0.7500 x2

=====

[4]
Density functional theory data (GGA-PBE) for crystalline OsW at its relaxed geometry.

Unit cell a=7.743 b=7.743 c=4.391 alpha=90.00 beta=90.00 gamma=90.00
Space group P4/mnc (No. 128)
Symmetry-distinct sites (fractional):
Os 0.103 0.221 0.000 x8
W 0.050 0.702 0.500 x8

=====

Number 1: E_form 450 meV per atom, M_tot 0.0 μB per cell. Number 2: E_form 584 meV per atom, M_tot 0.0 μB per cell. Number 3: E_form 1245 meV per atom, M_tot 0.0 μB per cell. Number 4: E_form 404 meV per atom, M_tot 0.0 μB per cell.